PBE+U LiCd2WO6, optimized geometry; VASP energy = -5.52 eV/atom; density of states at the Fermi level = 12.93 states/eV per cell; SG = P2_1/c
1.0
5.361 0.000 0.012
0.000 5.548 0.000
0.065 0.000 8.459
Li Cd W O
2 4 2 12
direct
0.500 0.000 0.000 Li
0.000 0.500 0.500 Li
0.030 0.952 0.254 Cd
0.530 0.548 0.754 Cd
0.970 0.048 0.746 Cd
0.470 0.452 0.246 Cd
0.500 0.000 0.500 W
0.000 0.500 0.000 W
0.275 0.711 0.051 O
0.775 0.789 0.551 O
0.725 0.289 0.949 O
0.225 0.211 0.449 O
0.307 0.730 0.414 O
0.807 0.770 0.914 O
0.693 0.270 0.586 O
0.193 0.230 0.086 O
0.862 0.569 0.211 O
0.362 0.931 0.711 O
0.138 0.431 0.789 O
0.638 0.069 0.289 O